This record from Alexandria via LeMat-Bulk describes a relaxed CeErCBr crystal. The functional is PBE.

Results
DOS(E_F): 1.13 states/eV per atom
Energy: -6.247 eV per atom

abc: 3.655 3.656 7.682
angles: 90.00 103.77 119.99
Each line ends with the local moment (μB).
Sites, in units of the cell vectors:
Br  0.954  0.375  0.345  0.00
Er  0.092  0.944  0.051  0.03
C  0.313  0.555  0.883  -0.02
Ce  0.518  0.157  0.690  0.78

=====

This record from Alexandria via LeMat-Bulk describes a relaxed KSrBr2 crystal. The functional is PBE.

Results
Excess energy over the best structure of this formula in the dataset: 94 meV/atom
DOS(E_F): 0.27 states/eV per atom

abc: 9.598 7.529 4.599
angles: 57.49 111.34 138.47
Sites, in units of the cell vectors:
Br  0.000  0.000  0.000
Br  0.500  0.000  0.500
K  0.000  0.500  0.500
Sr  0.500  0.500  0.000

=====

This record from Alexandria via LeMat-Bulk describes a relaxed AcNd4SmS8 crystal. The functional is PBE.

Results
DOS(E_F): 0.64 states/eV per atom
Energy: -6.268 eV per atom

abc: 8.413 8.413 8.394
angles: 59.93 59.93 60.00
Sites, in units of the cell vectors:
S  0.759  0.228  0.253
S  0.228  0.759  0.253
S  0.238  0.238  0.287
S  0.236  0.236  0.741
S  0.236  0.788  0.741
S  0.759  0.759  0.253
S  0.788  0.236  0.741
S  0.756  0.756  0.731
Sm  0.998  0.998  0.005
Nd  0.998  0.505  0.498
Nd  0.505  0.998  0.498
Nd  0.998  0.998  0.498
Nd  0.624  0.624  0.127
Ac  0.375  0.375  0.875

=====

> DOS(E_F) of number 3 (AcNd4SmS8)?

0.64 states/eV per atom

=====

> The highest DOS(E_F) belongs to which entry?

CeErCBr

=====

> Which of these has the lowest DOS(E_F)?

KSrBr2

=====

> The lowest DOS(E_F) belongs to which entry?

KSrBr2